[1]
Density functional theory data (GGA-PBE) for SmGdCd after structural relaxation.

a = 5.3182 Å, b = 5.3182 Å, c = 3.5751 Å
α = 90.00°, β = 90.00°, γ = 120.00°
Last column: nearest neighbours and their distance in Å.
Space group P3m1 (No. 156)
Symmetry-distinct sites (fractional):
1 Sm 0.0000 0.0000 0.0000 (multiplicity 1)  3 Cd 3.25, 3 Gd 3.43, 2 Sm 3.58
2 Gd 0.3333 0.6667 0.5715 (multiplicity 1)  3 Cd 3.23, 3 Sm 3.43, 2 Gd 3.58
3 Cd 0.6667 0.3333 0.2943 (multiplicity 1)  3 Gd 3.23, 3 Sm 3.25, 2 Cd 3.58

Computed properties:
Final energy = -19.98 eV per cell



[2]
Density functional theory data (GGA-PBE) for LaZr2Ir9 after structural relaxation.

a = 5.2896 Å, b = 5.2896 Å, c = 26.0056 Å
α = 90.00°, β = 90.00°, γ = 120.00°
Last column: nearest neighbours and their distance in Å.
Space group R-3m (No. 166, hexagonal axes)
Symmetry-distinct sites (fractional):
1 La 0.0000 0.0000 0.0000 (multiplicity 3)  6 Ir 3.05
2 Zr 0.0000 0.0000 0.1398 (multiplicity 6)  12 Ir 3.01-3.21, 3 Zr 3.36
3 Ir 0.0000 0.0000 0.3343 (multiplicity 6)  6 Ir 2.67-2.70
4 Ir 0.0000 0.0000 0.5000 (multiplicity 3)  6 Ir 2.63
5 Ir 0.0031 0.5016 0.9151 (multiplicity 18)  7 Ir 2.62-2.70

Computed properties:
Final energy = -324.47 eV per cell



Number 1: D(E_F) 3.76 states/eV/cell, energy of formation from the pure elements -88 meV per atom, ρ 8.0 Mg/m³. Number 2: D(E_F) 37.82 states/eV/cell, energy of formation from the pure elements -532 meV per atom, ρ 16.2 Mg/m³.